Material: Ba3CaTiWO9
Method: DFT, PBEsol
State: relaxed

Unit cell a=5.906 b=5.906 c=14.736 alpha=90.00 beta=90.00 gamma=120.00
Fractional coordinates of all 30 atoms:
O (0.348, 0.174, 0.908)
O (0.826, 0.174, 0.908)
O (0.517, 0.034, 0.746)
O (0.034, 0.517, 0.246)
O (0.826, 0.652, 0.908)
O (0.966, 0.483, 0.746)
O (0.483, 0.517, 0.246)
O (0.177, 0.354, 0.093)
O (0.177, 0.823, 0.093)
O (0.646, 0.823, 0.093)
O (0.517, 0.483, 0.746)
O (0.823, 0.646, 0.593)
O (0.652, 0.826, 0.408)
O (0.354, 0.177, 0.593)
O (0.483, 0.966, 0.246)
O (0.823, 0.177, 0.593)
O (0.174, 0.348, 0.408)
O (0.174, 0.826, 0.408)
Ti (0.333, 0.667, 0.353)
Ti (0.667, 0.333, 0.853)
Ba (0.667, 0.333, 0.100)
Ba (0.333, 0.667, 0.891)
Ba (0.000, 0.000, 0.755)
Ba (0.333, 0.667, 0.600)
Ba (0.667, 0.333, 0.391)
Ba (0.000, 0.000, 0.255)
W (0.667, 0.333, 0.660)
W (0.333, 0.667, 0.160)
Ca (0.000, 0.000, 0.999)
Ca (0.000, 0.000, 0.499)

Output
- total energy (eV/f.u.) = -121.57
- ρ (g/cm3) = 6.18

***

Material: Ca2Ge2Ir
Method: DFT, PBEsol
State: relaxed

Unit cell a=4.561 b=6.599 c=6.599 alpha=90.00 beta=90.00 gamma=90.00
Fractional coordinates of all 10 atoms:
Ca (0.500, 0.677, 0.823)
Ca (0.500, 0.823, 0.323)
Ca (0.500, 0.323, 0.177)
Ca (0.500, 0.177, 0.677)
Ge (0.000, 0.136, 0.364)
Ge (0.000, 0.364, 0.864)
Ge (0.000, 0.864, 0.636)
Ge (0.000, 0.636, 0.136)
Ir (0.000, 0.500, 0.500)
Ir (0.000, 0.000, 0.000)

Output
- total energy (eV/f.u.) = -27.23
- ρ (g/cm3) = 6.98

***

Material: CrCuTc
Method: DFT, PBEsol
State: relaxed

Unit cell a=2.584 b=2.584 c=6.474 alpha=90.00 beta=90.00 gamma=120.00
Fractional coordinates of all 3 atoms:
Cr (0.000, 0.000, 0.000)
Tc (0.333, 0.667, 0.326)
Cu (0.667, 0.333, 0.674)

Output
- total energy (eV/f.u.) = -24.89
- ρ (g/cm3) = 9.47

***

Material: ZrTcAs
Method: DFT, PBEsol
State: relaxed

Unit cell a=3.022 b=3.022 c=6.265 alpha=98.69 beta=98.69 gamma=111.96
Fractional coordinates of all 3 atoms:
Tc (0.656, 0.656, 0.313)
As (0.008, 0.008, 0.016)
Zr (0.335, 0.335, 0.671)

Output
- total energy (eV/f.u.) = -25.86
- ρ (g/cm3) = 8.58

***

Material: Ca2AlW
Method: DFT, PBEsol
State: relaxed

Unit cell a=2.927 b=5.769 c=5.769 alpha=119.15 beta=91.82 gamma=91.82
Fractional coordinates of all 4 atoms:
Ca (0.000, 0.500, 0.000)
Ca (0.000, 0.000, 0.500)
Al (0.500, 0.500, 0.500)
W (0.500, 0.000, 0.000)

Output
- total energy (eV/f.u.) = -19.57
- ρ (g/cm3) = 5.69

***

Material: LiMg2Hg
Method: DFT, PBEsol
State: relaxed

Unit cell a=4.239 b=4.239 c=5.228 alpha=113.92 beta=113.92 gamma=90.00
Fractional coordinates of all 4 atoms:
Hg (0.500, 0.500, 0.000)
Mg (0.000, 0.000, 0.000)
Mg (0.750, 0.250, 0.500)
Li (0.250, 0.750, 0.500)

Output
- total energy (eV/f.u.) = -6.94
- ρ (g/cm3) = 5.53

***

Material: NaSiI2N
Method: DFT, PBEsol
State: relaxed

Unit cell a=4.273 b=5.674 c=5.674 alpha=90.00 beta=90.00 gamma=90.00
Last column: magnetic moment on the atom in μB.
Fractional coordinates of all 5 atoms:
I (0.000, 0.500, 0.000)  0.08
I (0.000, 0.000, 0.500)  0.08
N (0.500, 0.000, 0.000)  1.57
Si (0.500, 0.500, 0.500)  -0.09
Na (0.000, 0.000, 0.000)  0.01

Output
- total energy (eV/f.u.) = -13.78
- ρ (g/cm3) = 3.85

***

Material: Ta2CrNO5
Method: DFT, PBEsol
State: relaxed

Unit cell a=4.706 b=4.706 c=9.038 alpha=90.00 beta=90.00 gamma=89.72
Last column: magnetic moment on the atom in μB.
Fractional coordinates of all 18 atoms:
N (0.197, 0.197, 0.336)  -0.01
N (0.197, 0.197, 0.664)  -0.01
Ta (0.486, 0.486, 0.669)  0.08
Ta (0.003, 0.003, 0.174)  0.07
Ta (0.486, 0.486, 0.331)  0.08
Ta (0.003, 0.003, 0.826)  0.07
O (0.197, 0.197, 0.000)  -0.01
O (0.309, 0.701, 0.500)  -0.01
O (0.699, 0.307, 0.836)  0.00
O (0.307, 0.699, 0.164)  0.00
O (0.801, 0.801, 0.000)  0.00
O (0.802, 0.802, 0.330)  0.01
O (0.307, 0.699, 0.836)  0.00
O (0.699, 0.307, 0.164)  0.00
O (0.701, 0.309, 0.500)  -0.01
O (0.802, 0.802, 0.670)  0.01
Cr (0.504, 0.504, 0.000)  2.73
Cr (0.001, 0.001, 0.500)  2.66

Output
- total energy (eV/f.u.) = -90.44
- ρ (g/cm3) = 8.43